Ba3Li8Hg | GGA-PBE | optimized geometry

a = 6.3104 Å, b = 6.3104 Å, c = 30.8995 Å
α = 90.00°, β = 90.00°, γ = 120.00°
Space group R3m (No. 160, hexagonal axes)
Asymmetric unit:
1 Ba 0.0000 0.0000 0.0000 [3 per cell]
2 Ba 0.0000 0.0000 0.1329 [3 per cell]
3 Ba 0.0000 0.0000 0.6094 [3 per cell]
4 Li 0.0000 0.0000 0.3079 [3 per cell]
5 Li 0.0000 0.0000 0.8141 [3 per cell]
6 Li 0.0078 0.5039 0.0674 [9 per cell]
7 Li 0.0122 0.5061 0.5575 [9 per cell]
8 Hg 0.0000 0.0000 0.4908 [3 per cell]

Formation energy from the elements, eV per atom: -0.014
Total DFT energy (no corrections), eV/cell: -64.66
Crystal system: trigonal

LiSnAsF2 | GGA-PBE | optimized geometry

a = 3.9540 Å, b = 3.9540 Å, c = 5.0537 Å
α = 90.00°, β = 90.00°, γ = 90.00°
Space group P4/mmm (No. 123)
Asymmetric unit:
1 Li 0.0000 0.0000 0.0000 [1 per cell]
2 Sn 0.5000 0.5000 0.5000 [1 per cell]
3 As 0.0000 0.0000 0.5000 [1 per cell]
4 F 0.0000 0.5000 0.0000 [2 per cell]

Total DFT energy (no corrections), eV/cell: -20.66
Crystal system: tetragonal